Compound: Cs2LiBr3
Source: the Alexandria database
Functional: PBE
Structure: optimized geometry

Calculated values
Its raw formation energy is -1694 meV/atom. As for the spin magnetization: 0.0 Bohr magnetons per cell.

Geometry as POSCAR:
```
Cs2LiBr3
1.0
4.5168 0.0000 0.0000
0.0000 8.1737 0.0000
-2.2608 0.0000 12.3573
Cs Li Br
4 2 6
Direct
0.0056 0.2500 0.0117
0.1780 0.7500 0.3555
0.8220 0.2500 0.6445
0.9944 0.7500 0.9883
0.3507 0.7500 0.6999
0.6493 0.2500 0.3001
0.2041 0.2500 0.4090
0.4122 0.0029 0.8241
0.4122 0.4971 0.8241
0.5878 0.5029 0.1759
0.5878 0.9971 0.1759
0.7959 0.7500 0.5910
```